The following is a DFT calculation (PBE) of VSiH3 after structural relaxation.

Cell lengths 3.365, 3.365, 3.365 Å; angles 90.00, 90.00, 90.00 degrees
Positions (direct):
V 0.000 0.000 0.000
Si 0.500 0.500 0.500
H 0.000 0.000 0.500
H 0.000 0.500 0.000
H 0.500 0.000 0.000

## Properties
Its density is 3.58 g/cm3. The total magnetization comes out at 0.0 Bohr magnetons per cell. The density of states at the Fermi level comes out at 0.330 states/eV per atom. Its distance to the lowest polymorph of the same formula is 0 meV per atom.

The following is a DFT calculation (PBE) of V2SiH2 after structural relaxation.

Cell lengths 4.756, 4.756, 5.121 Å; angles 103.67, 103.67, 119.37 degrees
Positions (direct):
V 0.049 0.951 0.750
V 0.298 0.702 0.250
V 0.702 0.298 0.750
V 0.951 0.049 0.250
Si 0.375 0.625 0.750
Si 0.625 0.375 0.250
H 0.003 0.754 0.011
H 0.246 0.997 0.489
H 0.754 0.003 0.511
H 0.997 0.246 0.989

## Properties
Its density is 4.91 g/cm3. The total magnetization comes out at 0.0 Bohr magnetons per cell. The density of states at the Fermi level comes out at 0.621 states/eV per atom. Its distance to the lowest polymorph of the same formula is 37 meV per atom.

Question: What is the formula in the second record?
Answer: V2SiH2